Material: Cs2BaHfCu
Method: DFT, PBE
State: optimized geometry

Properties
* calculated total energy: -11.3 eV for the cell shown
* crystal system: tetragonal
* E_form: 1.2770 eV per atom

a b c (Å): 7.0664 6.7220 7.0664
angles (deg): 90.00 90.00 90.00
Closest atoms and distances in Å follow each position.
Positions (direct):
1 Cs 0.0000 0.0000 0.5000  2 Hf 3.53
2 Cs 0.5000 0.0000 0.0000  2 Hf 3.53
3 Hf 0.0000 0.0000 0.0000  2 Ba 3.36, 4 Cs 3.53
4 Ba 0.0000 0.5000 0.0000  2 Hf 3.36
5 Cu 0.5000 0.5000 0.5000  8 Cs 4.88, 4 Ba 5.00